[1]
# LiMnCuPb2 (PBE, relaxed)
# * DOS(E_F): 3.187 states/eV/f.u.
# * energy: -4.074 eV per atom
# * crystal system: tetragonal
# * DFT formation energy: 0.44 eV per atom
data_LiMnCuPb2
_chemical_formula_sum 'Li1 Mn1 Cu1 Pb2'
_space_group_name_H-M_alt 'P 1'
_space_group_IT_number 1
_cell_length_a 5.2021
_cell_length_b 4.8174
_cell_length_c 5.2021
_cell_angle_alpha 90.00
_cell_angle_beta 90.00
_cell_angle_gamma 90.00
loop_
_space_group_symop_operation_xyz
'x,y,z'
loop_
_atom_site_label
_atom_site_type_symbol
_atom_site_fract_x
_atom_site_fract_y
_atom_site_fract_z
Pb1 Pb 0.0000 0.0000 0.5000
Pb2 Pb 0.5000 0.0000 0.0000
Mn1 Mn 0.0000 0.5000 0.0000
Cu1 Cu 0.0000 0.0000 0.0000
Li1 Li 0.5000 0.5000 0.5000

***

[2]
# LiMnCuSe3 (PBE, relaxed)
# * formation energy from raw total energies: -0.531 eV per atom
# * DOS(E_F): 1.802 states/eV/f.u.
# * energy: -4.803 eV per atom
# * crystal system: monoclinic
data_LiMnCuSe3
_chemical_formula_sum 'Li2 Mn2 Cu2 Se6'
_space_group_name_H-M_alt 'P 1'
_space_group_IT_number 1
_cell_length_a 3.6671
_cell_length_b 7.3479
_cell_length_c 8.6469
_cell_angle_alpha 103.72
_cell_angle_beta 90.00
_cell_angle_gamma 90.00
loop_
_space_group_symop_operation_xyz
'x,y,z'
loop_
_atom_site_label
_atom_site_type_symbol
_atom_site_fract_x
_atom_site_fract_y
_atom_site_fract_z
Li1 Li 0.7500 0.7978 0.7158
Li2 Li 0.2500 0.2022 0.2842
Mn1 Mn 0.2500 0.6772 0.1616
Mn2 Mn 0.7500 0.3228 0.8384
Cu1 Cu 0.2500 0.0779 0.5957
Cu2 Cu 0.7500 0.9221 0.4043
Se1 Se 0.2500 0.7280 0.4630
Se2 Se 0.7500 0.8993 0.1242
Se3 Se 0.7500 0.4331 0.1414
Se4 Se 0.7500 0.2720 0.5370
Se5 Se 0.2500 0.5669 0.8586
Se6 Se 0.2500 0.1007 0.8758

***

[3]
# LiMnCuSe2 (PBE, relaxed)
# * formation energy from raw total energies: -0.518 eV per atom
# * DOS(E_F): 0.009 states/eV/f.u.
# * energy: -4.947 eV per atom
# * crystal system: monoclinic
data_LiMnCuSe2
_chemical_formula_sum 'Li2 Mn2 Cu2 Se4'
_space_group_name_H-M_alt 'P 1'
_space_group_IT_number 1
_cell_length_a 5.4278
_cell_length_b 6.0682
_cell_length_c 6.5295
_cell_angle_alpha 90.09
_cell_angle_beta 90.00
_cell_angle_gamma 90.00
loop_
_space_group_symop_operation_xyz
'x,y,z'
loop_
_atom_site_label
_atom_site_type_symbol
_atom_site_fract_x
_atom_site_fract_y
_atom_site_fract_z
Li1 Li 0.0007 0.5000 0.7500
Li2 Li 0.9993 0.5000 0.2500
Mn1 Mn 0.4994 0.0000 0.2500
Mn2 Mn 0.5006 0.0000 0.7500
Cu1 Cu 0.0000 0.0000 0.0000
Cu2 Cu 0.0000 0.0000 0.5000
Se1 Se 0.7104 0.7282 0.9998
Se2 Se 0.7104 0.2718 0.5002
Se3 Se 0.2896 0.7282 0.4998
Se4 Se 0.2896 0.2718 0.0002

***

[4]
# LiMnCuSn (PBE, relaxed)
# * DOS(E_F): 1.140 states/eV/f.u.
# * energy: -4.855 eV per atom
# * crystal system: cubic
# * DFT formation energy: -0.06 eV per atom
data_LiMnCuSn
_chemical_formula_sum 'Li1 Mn1 Cu1 Sn1'
_space_group_name_H-M_alt 'P 1'
_space_group_IT_number 1
_cell_length_a 4.4424
_cell_length_b 4.4424
_cell_length_c 4.4424
_cell_angle_alpha 60.00
_cell_angle_beta 60.00
_cell_angle_gamma 60.00
loop_
_space_group_symop_operation_xyz
'x,y,z'
loop_
_atom_site_label
_atom_site_type_symbol
_atom_site_fract_x
_atom_site_fract_y
_atom_site_fract_z
Mn1 Mn 0.5000 0.5000 0.5000
Sn1 Sn 0.2500 0.2500 0.2500
Cu1 Cu 0.7500 0.7500 0.7500
Li1 Li 0.0000 0.0000 0.0000

***

[5]
# LiMnCuSn2 (PBE, relaxed)
# * DOS(E_F): 2.401 states/eV/f.u.
# * energy: -4.289 eV per atom
# * crystal system: tetragonal
# * DFT formation energy: 0.35 eV per atom
data_LiMnCuSn2
_chemical_formula_sum 'Li1 Mn1 Cu1 Sn2'
_space_group_name_H-M_alt 'P 1'
_space_group_IT_number 1
_cell_length_a 4.8168
_cell_length_b 4.7155
_cell_length_c 4.8168
_cell_angle_alpha 90.00
_cell_angle_beta 90.00
_cell_angle_gamma 90.00
loop_
_space_group_symop_operation_xyz
'x,y,z'
loop_
_atom_site_label
_atom_site_type_symbol
_atom_site_fract_x
_atom_site_fract_y
_atom_site_fract_z
Mn1 Mn 0.0000 0.0000 0.0000
Sn1 Sn 0.0000 0.0000 0.5000
Sn2 Sn 0.5000 0.0000 0.0000
Cu1 Cu 0.0000 0.5000 0.0000
Li1 Li 0.5000 0.5000 0.5000

***

[6]
# LiMnCu2Tc (PBE, relaxed)
# * DOS(E_F): 2.771 states/eV/f.u.
# * energy: -5.045 eV per atom
# * crystal system: tetragonal
# * DFT formation energy: 0.88 eV per atom
data_LiMnCu2Tc
_chemical_formula_sum 'Li1 Mn1 Cu2 Tc1'
_space_group_name_H-M_alt 'P 1'
_space_group_IT_number 1
_cell_length_a 3.9330
_cell_length_b 4.2252
_cell_length_c 3.9330
_cell_angle_alpha 90.00
_cell_angle_beta 90.00
_cell_angle_gamma 90.00
loop_
_space_group_symop_operation_xyz
'x,y,z'
loop_
_atom_site_label
_atom_site_type_symbol
_atom_site_fract_x
_atom_site_fract_y
_atom_site_fract_z
Mn1 Mn 0.0000 0.5000 0.0000
Tc1 Tc 0.5000 0.5000 0.5000
Cu1 Cu 0.0000 0.0000 0.5000
Cu2 Cu 0.5000 0.0000 0.0000
Li1 Li 0.0000 0.0000 0.0000